Record 1
# RbMnNi PBE-GGA optimized geometry
data_RbMnNi
_chemical_formula_sum 'Rb2 Mn2 Ni2'
_symmetry_space_group_name_H-M 'P 1 m 1'
_symmetry_Int_Tables_number 6
_symmetry_space_group_name_Hall 'P -2y'
_cell_length_a 4.033
_cell_length_b 4.986
_cell_length_c 10.071
_cell_angle_alpha 90.00
_cell_angle_beta 90.21
_cell_angle_gamma 90.00
loop_
_atom_site_label
_atom_site_fract_x
_atom_site_fract_y
_atom_site_fract_z
_atom_site_occupancy
Rb1 0.000 0.000 0.000 1
Rb2 0.499 0.500 0.579 1
Mn1 0.992 0.500 0.248 1
Mn2 0.993 0.000 0.356 1
Ni1 0.492 0.241 0.278 1
# **D(E_F)**: 0.585 states/eV/atom
# **ΔE to the lowest computed polymorph**: 49 meV per atom
# **E_form**: 1.36 eV per formula unit
# **DFT total energy**: -29.12 eV/cell
# **Calculated volume**: 203 Å³/cell

Record 2
# PrUCo4 PBE-GGA optimized geometry
data_PrUCo4
_chemical_formula_sum 'Pr4 U4 Co16'
_symmetry_space_group_name_H-M 'C 1 2/m 1'
_symmetry_Int_Tables_number 12
_symmetry_space_group_name_Hall '-C 2y'
_cell_length_a 9.711
_cell_length_b 6.234
_cell_length_c 6.835
_cell_angle_alpha 90.00
_cell_angle_beta 110.81
_cell_angle_gamma 90.00
loop_
_atom_site_label
_atom_site_fract_x
_atom_site_fract_y
_atom_site_fract_z
_atom_site_occupancy
Pr1 0.196 0.000 0.294 1
U1 0.036 0.500 0.260 1
Co1 0.000 0.201 0.500 1
Co2 0.104 0.232 0.916 1
Co3 0.237 0.000 0.759 1
# **D(E_F)**: 1.040 states/eV/atom
# **ΔE to the lowest computed polymorph**: 0 meV per atom
# **E_form**: -0.20 eV per formula unit
# **DFT total energy**: -178.78 eV/cell
# **Calculated volume**: 387 Å³/cell